# 1
Here is a geometry-optimized Na2Ge3BiPt4 structure from the Alexandria database. Energies are from PBE.

CIF file:
```
data_Na2Ge3BiPt4
_space_group_name_H-M_alt 'P -4 m 2'
_space_group_IT_number 115
_cell_length_a 4.4578
_cell_length_b 4.4578
_cell_length_c 10.4565
_cell_angle_alpha 90.00
_cell_angle_beta 90.00
_cell_angle_gamma 90.00
loop_
_space_group_symop_operation_xyz
'x,y,z'
'y,-x,-z'
'-x,-y,z'
'-y,x,-z'
'-x,y,z'
'-y,-x,-z'
'x,-y,z'
'y,x,-z'
loop_
_atom_site_label
_atom_site_fract_x
_atom_site_fract_y
_atom_site_fract_z
Na1 0.0000 0.5000 0.2330
Ge1 0.0000 0.5000 0.8829
Ge2 0.5000 0.5000 0.5000
Bi1 0.0000 0.0000 0.5000
Pt1 0.0000 0.0000 0.0000
Pt2 0.0000 0.5000 0.6495
Pt3 0.5000 0.5000 0.0000
```

The energy relative to the elements comes out at -3.859 eV/f.u.

# 2
Here is a geometry-optimized PdSe2I structure from the Alexandria database. Energies are from PBE.

CIF file:
```
data_PdSe2I
_space_group_name_H-M_alt 'C 1 2/c 1'
_space_group_IT_number 15
_cell_length_a 9.5914
_cell_length_b 10.4268
_cell_length_c 17.4140
_cell_angle_alpha 90.00
_cell_angle_beta 92.79
_cell_angle_gamma 90.00
loop_
_space_group_symop_operation_xyz
'x,y,z'
'-x,-y,-z'
'-x,y,-z+1/2'
'x,-y,z+1/2'
'x+1/2,y+1/2,z'
'-x+1/2,-y+1/2,-z'
'-x+1/2,y+1/2,-z+1/2'
'x+1/2,-y+1/2,z+1/2'
loop_
_atom_site_label
_atom_site_fract_x
_atom_site_fract_y
_atom_site_fract_z
Pd1 0.0802 0.0475 0.1679
Pd2 0.0970 0.2638 0.3249
Se1 0.0000 0.1257 0.7500
Se2 0.0000 0.4456 0.2500
Se3 0.1370 0.2621 0.1099
Se4 0.2306 0.3064 0.7712
Se5 0.2403 0.0925 0.6000
I1 0.0342 0.3317 0.9379
I2 0.1699 0.0511 0.4158
```

The formation energy (no corrections) comes out at -2.9 kJ/mol of formula units.

# 3
Here is a geometry-optimized NbFeCoRu structure from the Alexandria database. Energies are from PBE.

CIF file:
```
data_NbFeCoRu
_space_group_name_H-M_alt 'P m m m'
_space_group_IT_number 47
_cell_length_a 3.7330
_cell_length_b 3.7473
_cell_length_c 3.8176
_cell_angle_alpha 90.00
_cell_angle_beta 90.00
_cell_angle_gamma 90.00
loop_
_space_group_symop_operation_xyz
'x,y,z'
'-x,-y,-z'
'-x,-y,z'
'x,y,-z'
'x,-y,-z'
'-x,y,z'
'-x,y,-z'
'x,-y,z'
loop_
_atom_site_label
_atom_site_fract_x
_atom_site_fract_y
_atom_site_fract_z
Nb1 0.0000 0.0000 0.0000
Fe1 0.0000 0.5000 0.5000
Co1 0.5000 0.5000 0.0000
Ru1 0.5000 0.0000 0.5000
```

The energy relative to the elements comes out at -0.347 eV/f.u.

# 4
Here is a geometry-optimized HfTiSnMo structure from the Alexandria database. Energies are from PBE.

CIF file:
```
data_HfTiSnMo
_space_group_name_H-M_alt 'F -4 3 m'
_space_group_IT_number 216
_space_group_name_Hall 'F -4 2 3'
_cell_length_a 6.6749
_cell_length_b 6.6749
_cell_length_c 6.6749
_cell_angle_alpha 90.00
_cell_angle_beta 90.00
_cell_angle_gamma 90.00
loop_
_atom_site_label
_atom_site_fract_x
_atom_site_fract_y
_atom_site_fract_z
Hf1 0.0000 0.0000 0.0000
Ti1 0.0000 0.0000 0.5000
Sn1 0.2500 0.2500 0.7500
Mo1 0.2500 0.2500 0.2500
```

The energy relative to the elements comes out at -0.638 eV/f.u.

# 5
Here is a geometry-optimized NdEr2Tm4Sc structure from the Alexandria database. Energies are from PBE.

CIF file:
```
data_NdEr2Tm4Sc
_space_group_name_H-M_alt 'I m m a'
_space_group_IT_number 74
_space_group_name_Hall '-I 2b 2'
_cell_length_a 6.6754
_cell_length_b 11.5358
_cell_length_c 13.0575
_cell_angle_alpha 90.00
_cell_angle_beta 90.00
_cell_angle_gamma 90.00
loop_
_atom_site_label
_atom_site_fract_x
_atom_site_fract_y
_atom_site_fract_z
Nd1 0.0000 0.0000 0.0000
Er1 0.0000 0.0000 0.5000
Er2 0.2500 0.2500 0.2500
Tm1 0.0000 0.0105 0.7486
Tm2 0.2487 0.2500 0.5089
Sc1 0.2500 0.2500 0.7500
```

The energy relative to the elements comes out at 3.603 eV/f.u.

# 6
Here is a geometry-optimized ThNi3Ge2 structure from the Alexandria database. Energies are from PBE.

CIF file:
```
data_ThNi3Ge2
_space_group_name_H-M_alt 'C 1 2/m 1'
_space_group_IT_number 12
_cell_length_a 15.7914
_cell_length_b 3.9801
_cell_length_c 9.5575
_cell_angle_alpha 90.00
_cell_angle_beta 107.65
_cell_angle_gamma 90.00
loop_
_space_group_symop_operation_xyz
'x,y,z'
'-x,-y,-z'
'-x,y,-z'
'x,-y,z'
'x+1/2,y+1/2,z'
'-x+1/2,-y+1/2,-z'
'-x+1/2,y+1/2,-z'
'x+1/2,-y+1/2,z'
loop_
_atom_site_label
_atom_site_fract_x
_atom_site_fract_y
_atom_site_fract_z
Th1 0.0000 0.0000 0.0000
Th2 0.1565 0.0000 0.6964
Ni1 0.0000 0.5000 0.5000
Ni2 0.0465 0.0000 0.3451
Ni3 0.1236 0.5000 0.1937
Ni4 0.1744 0.5000 0.9664
Ni5 0.2148 0.0000 0.3881
Ge1 0.0300 0.5000 0.7716
Ge2 0.1408 0.5000 0.4467
Ge3 0.2012 0.0000 0.1257
```

The energy relative to the elements comes out at -3.639 eV/f.u.

# 7
Here is a geometry-optimized Ba2SnRhPb structure from the Alexandria database. Energies are from PBE.

CIF file:
```
data_Ba2SnRhPb
_space_group_name_H-M_alt 'P 4/m m m'
_space_group_IT_number 123
_space_group_name_Hall '-P 4 2'
_cell_length_a 5.9645
_cell_length_b 5.9645
_cell_length_c 5.1521
_cell_angle_alpha 90.00
_cell_angle_beta 90.00
_cell_angle_gamma 90.00
loop_
_atom_site_label
_atom_site_fract_x
_atom_site_fract_y
_atom_site_fract_z
Ba1 0.0000 0.5000 0.0000
Sn1 0.0000 0.0000 0.5000
Rh1 0.0000 0.0000 0.0000
Pb1 0.5000 0.5000 0.5000
```

The energy relative to the elements comes out at -1.839 eV/f.u.

# 8
Here is a geometry-optimized Mg4HIr2 structure from the Alexandria database. Energies are from PBE.

CIF file:
```
data_Mg4HIr2
_space_group_name_H-M_alt 'C 1 m 1'
_space_group_IT_number 8
_cell_length_a 9.2548
_cell_length_b 5.8320
_cell_length_c 4.6443
_cell_angle_alpha 90.00
_cell_angle_beta 92.15
_cell_angle_gamma 90.00
loop_
_space_group_symop_operation_xyz
'x,y,z'
'x,-y,z'
'x+1/2,y+1/2,z'
'x+1/2,-y+1/2,z'
loop_
_atom_site_label
_atom_site_fract_x
_atom_site_fract_y
_atom_site_fract_z
Mg1 0.0000 0.0000 0.0000
Mg2 0.0055 0.5000 0.0819
Mg3 0.2394 0.0000 0.5099
Mg4 0.2869 0.5000 0.4897
H1 0.1903 0.5000 0.8722
Ir1 0.2546 0.2335 0.0082
```

# 9
Here is a geometry-optimized Ac2NdNi2 structure from the Alexandria database. Energies are from PBE.

CIF file:
```
data_Ac2NdNi2
_space_group_name_H-M_alt 'C m m m'
_space_group_IT_number 65
_space_group_name_Hall '-C 2 2'
_cell_length_a 4.5399
_cell_length_b 14.8473
_cell_length_c 4.1096
_cell_angle_alpha 90.00
_cell_angle_beta 90.00
_cell_angle_gamma 90.00
loop_
_atom_site_label
_atom_site_fract_x
_atom_site_fract_y
_atom_site_fract_z
Ac1 0.0000 0.1475 0.0000
Nd1 0.0000 0.5000 0.5000
Ni1 0.0000 0.2997 0.5000
```

The energy relative to the elements comes out at -0.926 eV/f.u.

# 10
Here is a geometry-optimized PrIBr2 structure from the Alexandria database. Energies are from PBE.

CIF file:
```
data_PrIBr2
_space_group_name_H-M_alt 'C m c m'
_space_group_IT_number 63
_space_group_name_Hall '-C 2c 2'
_cell_length_a 4.2412
_cell_length_b 15.3199
_cell_length_c 9.3862
_cell_angle_alpha 90.00
_cell_angle_beta 90.00
_cell_angle_gamma 90.00
loop_
_atom_site_label
_atom_site_fract_x
_atom_site_fract_y
_atom_site_fract_z
Pr1 0.0000 0.2399 0.2500
I1 0.0000 0.4132 0.7500
Br1 0.0000 0.1658 0.5700
```

The formation energy (no corrections) comes out at -666.6 kJ/mol of formula units.

# 11
Here is a geometry-optimized BaTe4O12 structure from the Alexandria database. Energies are from PBE.

CIF file:
```
data_BaTe4O12
_space_group_name_H-M_alt 'I m -3'
_space_group_IT_number 204
_space_group_name_Hall '-I 2 2 3'
_cell_length_a 7.9116
_cell_length_b 7.9116
_cell_length_c 7.9116
_cell_angle_alpha 90.00
_cell_angle_beta 90.00
_cell_angle_gamma 90.00
loop_
_atom_site_label
_atom_site_fract_x
_atom_site_fract_y
_atom_site_fract_z
Ba1 0.0000 0.0000 0.0000
Te1 0.2500 0.2500 0.2500
O1 0.0000 0.2147 0.2739
```

The formation energy (no corrections) comes out at -1671.0 kJ/mol of formula units.

# 12
Here is a geometry-optimized Pm5Tm4Tl structure from the Alexandria database. Energies are from PBE.

CIF file:
```
data_Pm5Tm4Tl
_space_group_name_H-M_alt 'P 4/m m m'
_space_group_IT_number 123
_space_group_name_Hall '-P 4 2'
_cell_length_a 3.6024
_cell_length_b 3.6024
_cell_length_c 24.4745
_cell_angle_alpha 90.00
_cell_angle_beta 90.00
_cell_angle_gamma 90.00
loop_
_atom_site_label
_atom_site_fract_x
_atom_site_fract_y
_atom_site_fract_z
Pm1 0.0000 0.0000 0.0000
Pm2 0.0000 0.0000 0.2034
Pm3 0.0000 0.0000 0.4091
Tm1 0.5000 0.5000 0.1017
Tm2 0.5000 0.5000 0.3051
Tl1 0.5000 0.5000 0.5000
```

The energy relative to the elements comes out at -0.428 eV/f.u.

# 13
Here is a geometry-optimized KLaCr2 structure from the Alexandria database. Energies are from PBE.

CIF file:
```
data_KLaCr2
_space_group_name_H-M_alt 'R -3 m'
_space_group_IT_number 166
_space_group_name_Hall '-R 3 2"'
_cell_length_a 3.6123
_cell_length_b 3.6123
_cell_length_c 32.8863
_cell_angle_alpha 90.00
_cell_angle_beta 90.00
_cell_angle_gamma 120.00
loop_
_atom_site_label
_atom_site_fract_x
_atom_site_fract_y
_atom_site_fract_z
K1 0.0000 0.0000 0.0000
La1 0.0000 0.0000 0.5000
Cr1 0.0000 0.0000 0.2406
```

The energy relative to the elements comes out at 4.184 eV/f.u.

# 14
Here is a geometry-optimized USeN structure from the Alexandria database. Energies are from PBE.

CIF file:
```
data_USeN
_space_group_name_H-M_alt 'C m c m'
_space_group_IT_number 63
_space_group_name_Hall '-C 2c 2'
_cell_length_a 5.5405
_cell_length_b 10.7045
_cell_length_c 5.3223
_cell_angle_alpha 90.00
_cell_angle_beta 90.00
_cell_angle_gamma 90.00
loop_
_atom_site_label
_atom_site_fract_x
_atom_site_fract_y
_atom_site_fract_z
U1 0.0000 0.1394 0.2500
Se1 0.0000 0.2884 0.7500
N1 0.0000 0.0000 0.0000
```

The formation energy (no corrections) comes out at -256.8 kJ/mol of formula units.

# 15
Here is a geometry-optimized Pm7Pr12Nd structure from the Alexandria database. Energies are from PBE.

CIF file:
```
data_Pm7Pr12Nd
_space_group_name_H-M_alt 'R -3'
_space_group_IT_number 148
_space_group_name_Hall '-R 3'
_cell_length_a 19.0195
_cell_length_b 19.0195
_cell_length_c 7.0176
_cell_angle_alpha 90.00
_cell_angle_beta 90.00
_cell_angle_gamma 120.00
loop_
_atom_site_label
_atom_site_fract_x
_atom_site_fract_y
_atom_site_fract_z
Pm1 0.0000 0.0000 0.0000
Pm2 0.0070 0.8512 0.2754
Pr1 0.9996 0.2144 0.2101
Pr2 0.0082 0.4706 0.2401
Nd1 0.0000 0.0000 0.5000
```

The energy relative to the elements comes out at 5.333 eV/f.u.

# 16
Here is a geometry-optimized CeGa8Fe4 structure from the Alexandria database. Energies are from PBE.

CIF file:
```
data_CeGa8Fe4
_space_group_name_H-M_alt 'I 4/m m m'
_space_group_IT_number 139
_space_group_name_Hall '-I 4 2'
_cell_length_a 8.7676
_cell_length_b 8.7676
_cell_length_c 5.0575
_cell_angle_alpha 90.00
_cell_angle_beta 90.00
_cell_angle_gamma 90.00
loop_
_atom_site_label
_atom_site_fract_x
_atom_site_fract_y
_atom_site_fract_z
Ce1 0.0000 0.0000 0.0000
Ga1 0.0000 0.2230 0.5000
Ga2 0.0000 0.3432 0.0000
Fe1 0.2500 0.2500 0.2500
```

The energy relative to the elements comes out at -3.581 eV/f.u.

# 17
Here is a geometry-optimized MgNbGe2 structure from the Alexandria database. Energies are from PBE.

CIF file:
```
data_MgNbGe2
_space_group_name_H-M_alt 'I -4 2 d'
_space_group_IT_number 122
_space_group_name_Hall 'I -4 2bw'
_cell_length_a 7.2556
_cell_length_b 7.2556
_cell_length_c 5.7928
_cell_angle_alpha 90.00
_cell_angle_beta 90.00
_cell_angle_gamma 90.00
loop_
_atom_site_label
_atom_site_fract_x
_atom_site_fract_y
_atom_site_fract_z
Mg1 0.0000 0.0000 0.0000
Nb1 0.0000 0.0000 0.5000
Ge1 0.2443 0.2500 0.6250
```

The energy relative to the elements comes out at 0.813 eV/f.u.

# 18
Here is a geometry-optimized LiMg6Rh structure from the Alexandria database. Energies are from PBE.

CIF file:
```
data_LiMg6Rh
_space_group_name_H-M_alt 'I 4/m m m'
_space_group_IT_number 139
_space_group_name_Hall '-I 4 2'
_cell_length_a 4.5998
_cell_length_b 4.5998
_cell_length_c 14.6497
_cell_angle_alpha 90.00
_cell_angle_beta 90.00
_cell_angle_gamma 90.00
loop_
_atom_site_label
_atom_site_fract_x
_atom_site_fract_y
_atom_site_fract_z
Li1 0.0000 0.0000 0.0000
Mg1 0.0000 0.0000 0.2568
Mg2 0.0000 0.5000 0.1041
Rh1 0.0000 0.0000 0.5000
```

The energy relative to the elements comes out at -1.642 eV/f.u.

# 19
Here is a geometry-optimized Li3Ca10Cd3 structure from the Alexandria database. Energies are from PBE.

CIF file:
```
data_Li3Ca10Cd3
_space_group_name_H-M_alt 'P -6 2 m'
_space_group_IT_number 189
_space_group_name_Hall 'P -6 -2'
_cell_length_a 9.5539
_cell_length_b 9.5539
_cell_length_c 6.7780
_cell_angle_alpha 90.00
_cell_angle_beta 90.00
_cell_angle_gamma 120.00
loop_
_atom_site_label
_atom_site_fract_x
_atom_site_fract_y
_atom_site_fract_z
Li1 0.0000 0.4061 0.0000
Ca1 0.0000 0.2487 0.5000
Ca2 0.0000 0.7543 0.0000
Ca3 0.3333 0.6667 0.2555
Cd1 0.0000 0.6010 0.5000
```

The energy relative to the elements comes out at -1.734 eV/f.u.

# 20
Here is a geometry-optimized BeBiHPb structure from the Alexandria database. Energies are from PBE.

CIF file:
```
data_BeBiHPb
_space_group_name_H-M_alt 'C 1 m 1'
_space_group_IT_number 8
_cell_length_a 12.6961
_cell_length_b 4.0945
_cell_length_c 3.7036
_cell_angle_alpha 90.00
_cell_angle_beta 105.85
_cell_angle_gamma 90.00
loop_
_space_group_symop_operation_xyz
'x,y,z'
'x,-y,z'
'x+1/2,y+1/2,z'
'x+1/2,-y+1/2,z'
loop_
_atom_site_label
_atom_site_fract_x
_atom_site_fract_y
_atom_site_fract_z
Be1 0.0000 0.0000 0.0000
Bi1 0.1262 0.5000 0.1177
H1 0.3839 0.5000 0.8917
Pb1 0.4076 0.0000 0.4133
```

Calculated volume (Å³/cell), listed in the same order as above: 208, 1739, 53, 297, 1006, 572, 183, 250, 277, 610, 495, 318, 372, 316, 2198, 389, 305, 310, 536, 185
Calculated final energy (eV per atom), listed in the same order as above: -4.839, -3.436, -8.815, -8.330, -4.313, -6.273, -4.149, -4.229, -5.095, -4.146, -5.371, -4.443, -5.272, -8.586, -4.502, -5.199, -5.022, -2.559, -1.890, -3.349
Calculated calculated density (g/cm³), listed in the same order as above: 10.0, 6.0, 9.6, 9.8, 7.9, 9.6, 6.4, 6.4, 8.6, 4.7, 5.6, 8.4, 3.8, 7.0, 6.5, 7.9, 5.7, 2.7, 2.4, 7.6